# USb2Pd | the Alexandria database | PBE-GGA | optimized geometry
data_USb2Pd
_chemical_formula_sum 'U3 Sb6 Pd3'
_symmetry_space_group_name_H-M 'R -3 m'
_symmetry_Int_Tables_number 166
_symmetry_space_group_name_Hall '-R 3 2"'
_cell_length_a 4.4205
_cell_length_b 4.4205
_cell_length_c 17.3038
_cell_angle_alpha 90.00
_cell_angle_beta 90.00
_cell_angle_gamma 120.00
loop_
_atom_site_label
_atom_site_fract_x
_atom_site_fract_y
_atom_site_fract_z
_atom_site_occupancy
U1 0.0000 0.0000 0.0000 1
Sb1 0.0000 0.0000 0.2366 1
Pd1 0.0000 0.0000 0.5000 1
# Spin magnetization = 0.6926 μB/atom
# Calculated density = 10.00 g cm⁻³
# VASP energy = -6.35 eV/atom